Record 1
TiTlZn2F8 | Alexandria | PBE | optimized geometry; calculated volume = 196.81 Å³/cell; crystal system = trigonal; E_tot = -4.804 eV per atom; M_tot = 1.00 μB per formula unit
1.0
-0.555 0.307 -5.237
3.975 -1.427 -3.161
-1.720 -8.021 -2.945
Zn F Tl Ti
2 8 1 1
Direct
0.256 0.256 0.232
0.744 0.744 0.768
0.820 0.820 0.539
0.355 0.745 0.857
0.745 0.043 0.857
0.645 0.255 0.143
0.255 0.957 0.143
0.957 0.645 0.143
0.043 0.355 0.857
0.180 0.180 0.461
0.500 0.500 0.500
0.000 0.000 0.000

=====

Record 2
TmTi2F8 | Alexandria | PBE | optimized geometry; calculated volume = 146.98 Å³/cell; crystal system = monoclinic; E_tot = -6.571 eV per atom; M_tot = 1.01 μB per formula unit
1.0
5.235 -0.312 -0.236
-0.358 5.786 0.988
-0.358 2.509 5.306
Ti F Tm
2 8 1
Direct
0.490 0.265 0.265
0.510 0.735 0.735
0.273 0.871 0.871
0.745 0.105 0.628
0.253 0.381 0.381
0.255 0.895 0.372
0.727 0.129 0.129
0.745 0.628 0.105
0.747 0.619 0.619
0.255 0.372 0.895
0.000 0.000 0.000

=====

Record 3
UTiF6 | Alexandria | PBE | optimized geometry; calculated volume = 119.55 Å³/cell; crystal system = monoclinic; E_tot = -7.097 eV per atom; M_tot = 4.00 μB per formula unit
1.0
-4.499 -0.810 -1.921
1.563 -3.778 2.804
-1.629 3.123 4.052
F U Ti
6 1 1
Direct
0.146 0.468 0.240
0.769 0.769 0.306
0.532 0.854 0.760
0.231 0.231 0.694
0.468 0.146 0.240
0.854 0.532 0.760
0.000 0.000 0.000
0.500 0.500 0.500

=====

Record 4
UTiF6 | Alexandria | PBE | optimized geometry; calculated volume = 273.07 Å³/cell; crystal system = trigonal; E_tot = -7.144 eV per atom; M_tot = 4.00 μB per formula unit
1.0
-4.818 1.981 1.918
0.438 -1.578 -5.304
-2.868 -9.476 2.582
F U Ti
12 2 2
Direct
0.315 0.042 0.617
0.958 0.273 0.617
0.273 0.958 0.117
0.685 0.727 0.117
0.042 0.727 0.383
0.685 0.958 0.383
0.315 0.273 0.883
0.727 0.042 0.883
0.958 0.685 0.883
0.273 0.315 0.383
0.727 0.685 0.617
0.042 0.315 0.117
0.333 0.667 0.250
0.667 0.333 0.750
0.000 0.000 0.000
0.000 0.000 0.500